Material: K2InBiRu
Method: DFT, PBE
State: optimized geometry

Properties
ΔE_f = 3.53 eV per formula unit

a b c (Å): 6.0384 6.0384 5.2157
angles (deg): 90.00 90.00 90.00
With the nearest neighbours (Å) after each atom.
Atoms (fractional coordinates):
K1 0.0000 0.5000 0.0000  2 Ru 3.02
K2 0.5000 0.0000 0.0000  2 Ru 3.02
In1 0.0000 0.0000 0.5000  2 Ru 2.61
Bi1 0.5000 0.5000 0.5000  8 K 3.99, 4 In 4.27
Ru1 0.0000 0.0000 0.0000  2 In 2.61



Material: KIn2BiRu
Method: DFT, PBE
State: optimized geometry

Properties
ΔE_f = 0.12 eV per formula unit

a b c (Å): 5.2438 5.2438 5.4471
angles (deg): 90.00 90.00 90.00
With the nearest neighbours (Å) after each atom.
Atoms (fractional coordinates):
K1 0.0000 0.0000 0.0000  4 Bi 3.71, 8 In 3.78
In1 0.0000 0.5000 0.5000  2 Ru 2.62
In2 0.5000 0.0000 0.5000  2 Ru 2.62
Bi1 0.5000 0.5000 0.0000  2 Ru 2.72
Ru1 0.5000 0.5000 0.5000  4 In 2.62, 2 Bi 2.72



Material: K3InBi2S6
Method: DFT, PBE
State: optimized geometry

Properties
E_form (uncorrected) = -0.83 eV per atom

a b c (Å): 7.0885 7.0885 7.7756
angles (deg): 98.76 98.76 120.01
With the nearest neighbours (Å) after each atom.
Atoms (fractional coordinates):
K1 0.0000 0.0000 0.0000  6 S 3.18-3.31
K2 0.3295 0.6705 0.0000  6 S 3.18-3.27
K3 0.6705 0.3295 0.0000  6 S 3.18-3.27
In1 0.5000 0.5000 0.5000  6 S 2.71
Bi1 0.1662 0.8338 0.5000  6 S 2.86
Bi2 0.8338 0.1662 0.5000  6 S 2.86
S1 0.1147 0.4317 0.2952  1 In 2.71, 2 Bi 2.86
S2 0.2520 0.2520 0.7054  1 In 2.71, 2 Bi 2.86
S3 0.4317 0.1147 0.2952  1 In 2.71, 2 Bi 2.86
S4 0.5683 0.8853 0.7048  1 In 2.71, 2 Bi 2.86
S5 0.7480 0.7480 0.2946  1 In 2.71, 2 Bi 2.86
S6 0.8853 0.5683 0.7048  1 In 2.71, 2 Bi 2.86



Material: K4InBi3S8
Method: DFT, PBE
State: optimized geometry

Properties
E_form (uncorrected) = -0.82 eV per atom

a b c (Å): 8.8081 8.8081 8.8081
angles (deg): 55.61 55.61 55.61
With the nearest neighbours (Å) after each atom.
Atoms (fractional coordinates):
K1 0.0000 0.0000 0.0000  6 S 3.31
K2 0.0000 0.5000 0.5000  6 S 3.18-3.19
K3 0.5000 0.0000 0.5000  6 S 3.18-3.19
K4 0.5000 0.5000 0.0000  6 S 3.18-3.19
In1 0.5000 0.5000 0.5000  6 S 2.73
Bi1 0.0000 0.0000 0.5000  6 S 2.85-2.86
Bi2 0.0000 0.5000 0.0000  6 S 2.85-2.86
Bi3 0.5000 0.0000 0.0000  6 S 2.85-2.86
S1 0.2379 0.2379 0.2379  3 Bi 2.85, 3 K 3.18
S2 0.2495 0.7273 0.7273  1 In 2.73, 2 Bi 2.86
S3 0.2727 0.2727 0.7505  1 In 2.73, 2 Bi 2.86
S4 0.2727 0.7505 0.2727  1 In 2.73, 2 Bi 2.86
S5 0.7273 0.2495 0.7273  1 In 2.73, 2 Bi 2.86
S6 0.7273 0.7273 0.2495  1 In 2.73, 2 Bi 2.86
S7 0.7505 0.2727 0.2727  1 In 2.73, 2 Bi 2.86
S8 0.7621 0.7621 0.7621  3 Bi 2.85, 3 K 3.18



Material: K2InBiS4
Method: DFT, PBE
State: optimized geometry

Properties
E_form (uncorrected) = -0.84 eV per atom

a b c (Å): 7.0497 4.0433 7.7467
angles (deg): 90.00 107.46 90.00
With the nearest neighbours (Å) after each atom.
Atoms (fractional coordinates):
K1 0.0000 0.0000 0.0000  6 S 3.15-3.16
K2 0.5000 0.5000 0.0000  6 S 3.27
In1 0.0000 0.5000 0.5000  6 S 2.71-2.72
Bi1 0.5000 0.0000 0.5000  6 S 2.84-2.85
S1 0.2195 0.0000 0.6989  2 In 2.72, 1 Bi 2.85
S2 0.2497 0.5000 0.2934  1 In 2.71, 2 Bi 2.84
S3 0.7503 0.5000 0.7066  1 In 2.71, 2 Bi 2.84
S4 0.7805 0.0000 0.3011  2 In 2.72, 1 Bi 2.85



Material: K3InBi3S8
Method: DFT, PBE
State: optimized geometry

Properties
E_form (uncorrected) = -0.68 eV per atom

a b c (Å): 8.9544 8.9544 8.9544
angles (deg): 53.55 53.55 53.55
With the nearest neighbours (Å) after each atom.
Atoms (fractional coordinates):
K1 0.0000 0.5000 0.5000  6 S 3.21-3.24
K2 0.5000 0.0000 0.5000  6 S 3.21-3.24
K3 0.5000 0.5000 0.0000  6 S 3.21-3.24
In1 0.5000 0.5000 0.5000  6 S 2.68
Bi1 0.0000 0.0000 0.5000  6 S 2.83
Bi2 0.0000 0.5000 0.0000  6 S 2.83
Bi3 0.5000 0.0000 0.0000  6 S 2.83
S1 0.2369 0.2369 0.2369  3 Bi 2.83
S2 0.2489 0.7245 0.7245  1 In 2.68, 2 Bi 2.83
S3 0.2755 0.2755 0.7511  1 In 2.68, 2 Bi 2.83
S4 0.2755 0.7511 0.2755  1 In 2.68, 2 Bi 2.83
S5 0.7245 0.2489 0.7245  1 In 2.68, 2 Bi 2.83
S6 0.7245 0.7245 0.2489  1 In 2.68, 2 Bi 2.83
S7 0.7511 0.2755 0.2755  1 In 2.68, 2 Bi 2.83
S8 0.7631 0.7631 0.7631  3 Bi 2.83